Record 1
# LaTlCdSe3

Crystalline LaTlCdSe3 at its relaxed geometry (PBE, OQMD via LeMat-Bulk). Values from VASP.

Symmetry ... Pnma (62)
Relative energy among the computed polymorphs ... 0 meV per atom

Structure (Quantum ESPRESSO input):
```
&SYSTEM
  ibrav = 0, nat = 24, ntyp = 4
/
ATOMIC_SPECIES
Cd 112.41 Cd.upf
La 138.91 La.upf
Se 78.96 Se.upf
Tl 204.38 Tl.upf
CELL_PARAMETERS angstrom
-9.9468 -6.0236 -0.2876
0.1411 -0.4424 4.3882
-7.5066 12.3248 1.4839
ATOMIC_POSITIONS crystal
Cd 0.7380 0.2500 0.2153
Cd 0.2380 0.2500 0.2847
Cd 0.7620 0.7500 0.7153
Cd 0.2620 0.7500 0.7847
La 0.9875 0.7500 0.2364
La 0.4875 0.7500 0.2636
La 0.5125 0.2500 0.7364
La 0.0125 0.2500 0.7636
Se 0.9190 0.2500 0.1070
Se 0.5402 0.2500 0.1255
Se 0.2424 0.7500 0.1748
Se 0.7424 0.7500 0.3252
Se 0.0402 0.2500 0.3745
Se 0.4190 0.2500 0.3930
Se 0.5810 0.7500 0.6070
Se 0.9598 0.7500 0.6255
Se 0.2576 0.2500 0.6748
Se 0.7576 0.2500 0.8252
Se 0.4598 0.7500 0.8745
Se 0.0810 0.7500 0.8930
Tl 0.7106 0.7500 0.0015
Tl 0.2106 0.7500 0.4985
Tl 0.7894 0.2500 0.5015
Tl 0.2894 0.2500 0.9985
```

Record 2
# LaCdSn2

Crystalline LaCdSn2 at its relaxed geometry (PBE, OQMD via LeMat-Bulk). Values from VASP.

E_tot ... -4.002 eV per atom
Symmetry ... P4/mmm (123)

Structure (Quantum ESPRESSO input):
```
&SYSTEM
  ibrav = 0, nat = 4, ntyp = 3
/
ATOMIC_SPECIES
Cd 112.41 Cd.upf
La 138.91 La.upf
Sn 118.71 Sn.upf
CELL_PARAMETERS angstrom
-2.0669 2.8626 -3.3172
-2.1043 -3.8656 -2.0247
-3.6588 0.5493 2.7538
ATOMIC_POSITIONS crystal
Cd 0.0000 0.0000 0.5000
La 0.5000 0.5000 0.5000
Sn 0.5000 0.0000 0.0000
Sn 0.0000 0.5000 0.0000
```

Record 3
# LaCdSn

Crystalline LaCdSn at its relaxed geometry (PBE, OQMD via LeMat-Bulk). Values from VASP.

E_tot ... -3.647 eV per atom
Symmetry ... F-43m (216)

Structure (Quantum ESPRESSO input):
```
&SYSTEM
  ibrav = 0, nat = 3, ntyp = 3
/
ATOMIC_SPECIES
Cd 112.41 Cd.upf
La 138.91 La.upf
Sn 118.71 Sn.upf
CELL_PARAMETERS angstrom
3.8287 -3.3538 -0.4897
-1.0174 -4.9228 -0.9369
1.0720 -2.0056 -4.5799
ATOMIC_POSITIONS crystal
Cd 0.2500 0.2500 0.2500
La 0.7500 0.7500 0.7500
Sn 0.0000 0.0000 0.0000
```

Record 4
# LaCdSn

Crystalline LaCdSn at its relaxed geometry (PBE, OQMD via LeMat-Bulk). Values from VASP.

E_tot ... -3.448 eV per atom
Symmetry ... F-43m (216)

Structure (Quantum ESPRESSO input):
```
&SYSTEM
  ibrav = 0, nat = 3, ntyp = 3
/
ATOMIC_SPECIES
Cd 112.41 Cd.upf
La 138.91 La.upf
Sn 118.71 Sn.upf
CELL_PARAMETERS angstrom
-2.4155 -0.6177 4.6199
0.9544 3.3480 3.9294
-3.7008 3.4065 1.5033
ATOMIC_POSITIONS crystal
Cd 0.2500 0.2500 0.2500
La 0.0000 0.0000 0.0000
Sn 0.7500 0.7500 0.7500
```

| no. | spin magnetization (μB/cell) |
| --- | --- |
| 1 | 0.01 |
| 2 | 0.00 |
| 3 | 0.00 |
| 4 | 0.01 |